No. 1
Material: Ac2HoTl3Te6
Method: DFT, PBE
State: relaxed

## Properties
energy relative to the elements, uncorrected	-1104.5	meV per atom
size of the total moment	0.00	μB per cell

Unit cell a=8.124 b=8.124 c=8.601 alpha=99.08 beta=99.08 gamma=119.93
Positions (direct):
Te  0.613  0.926  0.779
Te  0.238  0.238  0.775
Te  0.762  0.762  0.225
Te  0.074  0.387  0.221
Te  0.926  0.613  0.779
Te  0.387  0.074  0.221
Tl  0.500  0.500  0.500
Tl  0.830  0.170  0.500
Tl  0.170  0.830  0.500
Ac  0.334  0.666  0.000
Ac  0.666  0.334  0.000
Ho  0.000  0.000  0.000

=====

No. 2
Material: Ac3Ho3TmTe8
Method: DFT, PBE
State: relaxed

## Properties
energy relative to the elements, uncorrected	-1403.6	meV per atom
size of the total moment	0.00	μB per cell

Unit cell a=8.893 b=8.893 c=9.142 alpha=119.10 beta=90.00 gamma=120.00
Positions (direct):
Ac  0.000  0.000  0.000
Ac  0.000  0.500  0.000
Ac  0.500  0.500  0.000
Ho  0.000  0.500  0.500
Ho  0.500  0.000  0.500
Ho  0.500  0.500  0.500
Tm  0.000  0.000  0.500
Te  0.259  0.518  0.277
Te  0.245  0.490  0.727
Te  0.263  0.018  0.273
Te  0.737  0.982  0.727
Te  0.245  0.982  0.727
Te  0.755  0.510  0.273
Te  0.755  0.018  0.273
Te  0.741  0.482  0.723

=====

No. 3
Material: Ac2HoTmTe6
Method: DFT, PBE
State: relaxed

## Properties
energy relative to the elements, uncorrected	-1431.6	meV per atom
size of the total moment	0.00	μB per cell

Unit cell a=8.068 b=8.067 c=8.389 alpha=61.28 beta=61.27 gamma=60.02
Positions (direct):
Ac  0.524  0.524  0.428
Ac  0.024  0.024  0.929
Te  0.959  0.588  0.264
Te  0.188  0.959  0.264
Te  0.687  0.091  0.766
Te  0.588  0.188  0.264
Te  0.090  0.457  0.766
Te  0.457  0.687  0.766
Tm  0.322  0.322  0.034
Ho  0.822  0.822  0.535

=====

No. 4
Material: Ac3Y3HoTe8
Method: DFT, PBE
State: relaxed

## Properties
energy relative to the elements, uncorrected	-1435.1	meV per atom
size of the total moment	0.00	μB per cell

Unit cell a=8.942 b=8.942 c=9.154 alpha=119.24 beta=90.00 gamma=120.00
Positions (direct):
Ac  0.000  0.500  0.000
Ac  0.500  0.500  0.000
Ac  0.000  0.000  0.000
Te  0.742  0.483  0.725
Te  0.754  0.016  0.270
Te  0.246  0.493  0.730
Te  0.258  0.517  0.275
Te  0.246  0.984  0.730
Te  0.754  0.507  0.270
Te  0.263  0.016  0.270
Te  0.737  0.984  0.730
Y  0.500  0.000  0.500
Y  0.000  0.500  0.500
Y  0.500  0.500  0.500
Ho  0.000  0.000  0.500